Record 1
Computed, not measured: a relaxed Tb6Tm5Sc2 crystal at the PBE-GGA level of DFT.

The structure belongs to space group Pbam (No. 55); the cell edges are 11.3156, 20.0046 and 3.5263 Å and the angles 90.00°, 90.00° and 90.00°. The inequivalent atoms are Tb at (0.0621, 0.0824, 0.0000), Tb at (0.0887, 0.3697, 0.0000), Tb at (0.1678, 0.6433, 0.5000), Tm at (0.0000, 0.5000, 0.5000), Tm at (0.0845, 0.2295, 0.5000), Tm at (0.1947, 0.9467, 0.5000) and Sc at (0.1677, 0.7938, 0.0000).

Its total energy is -4.710 eV per atom. The formation energy comes out at 12 kJ per mole of atoms.

---

Record 2
Computed, not measured: a relaxed CrSb2Au2 crystal at the PBE-GGA level of DFT.

The structure belongs to space group P4/mbm (No. 127); the cell edges are 7.1056, 7.1056 and 4.1407 Å and the angles 90.00°, 90.00° and 90.00°. The inequivalent atoms are Cr at (0.0000, 0.0000, 0.0000), Sb at (0.1694, 0.3306, 0.0000) and Au at (0.1432, 0.6432, 0.5000).

Its total energy is -4.450 eV per atom. The value obtained for the uncorrected formation energy is 435 meV per atom. Its energy above the lowest structure with this stoichiometry is 0 meV/atom.

---

Record 3
Computed, not measured: a relaxed Dy4Y5Ho4 crystal at the PBE-GGA level of DFT.

The structure belongs to space group I4/m (No. 87); the cell edges are 12.7997, 12.7997 and 5.0064 Å and the angles 90.00°, 90.00° and 90.00°. The inequivalent atoms are Dy at (0.0765, 0.6154, 0.0000), Y at (0.0000, 0.0000, 0.0000), Y at (0.0384, 0.8068, 0.5000) and Ho at (0.1545, 0.2315, 0.0000).

Its total energy is -5.290 eV per atom. The formation energy comes out at 2 kJ per mole of atoms.

---

Record 4
Computed, not measured: a relaxed LiS3I crystal at the PBE-GGA level of DFT.

The structure belongs to space group Pm-3m (No. 221); the cell edges are 5.1262, 5.1262 and 5.1262 Å and the angles 90.00°, 90.00° and 90.00°. The inequivalent atoms are Li at (0.0000, 0.0000, 0.0000), S at (0.0000, 0.5000, 0.5000) and I at (0.5000, 0.5000, 0.5000).

Its total energy is -2.691 eV per atom. The value obtained for the uncorrected formation energy is 478 meV per atom. Its energy above the lowest structure with this stoichiometry is 0 meV/atom.

---

Record 5
Computed, not measured: a relaxed CaYTl crystal at the PBE-GGA level of DFT.

The structure belongs to space group P4mm (No. 99); the cell edges are 3.8342, 3.8342 and 12.6296 Å and the angles 90.00°, 90.00° and 90.00°. The inequivalent atoms are Ca at (0.0000, 0.0000, 0.0000), Ca at (0.0000, 0.0000, 0.3092), Y at (0.0000, 0.0000, 0.6138), Y at (0.5000, 0.5000, 0.7925), Tl at (0.5000, 0.5000, 0.1493) and Tl at (0.5000, 0.5000, 0.4694).

Its total energy is -3.864 eV per atom. Its energy above the lowest structure with this stoichiometry is 95 meV/atom. The formation energy comes out at -24 kJ per mole of atoms.

---

Q: The highest total energy belongs to which entry?
A: LiS3I

---

Q: The highest total energy belongs to which entry?
A: LiS3I